No. 1
Crystalline BeCrTe2I at its relaxed geometry, computed with GGA-PBEsol.

Structure (CIF):
```
data_BeCrTe2I
_chemical_formula_sum 'Be1 Cr1 Te2 I1'
_space_group_name_H-M_alt 'P 1'
_space_group_IT_number 1
_space_group_name_Hall 'P 1'
_cell_length_a 5.069
_cell_length_b 5.069
_cell_length_c 5.478
_cell_angle_alpha 90.00
_cell_angle_beta 90.00
_cell_angle_gamma 90.00
loop_
_atom_site_label
_atom_site_type_symbol
_atom_site_fract_x
_atom_site_fract_y
_atom_site_fract_z
Be1 Be 0.000 0.000 0.000
Cr1 Cr 0.500 0.500 0.500
Te1 Te 0.000 0.500 0.500
Te2 Te 0.500 0.000 0.500
I1 I 0.500 0.500 0.000
```

## Properties
**ΔE_f (raw)**: 0.800 eV/atom
**Total moment**: 2.10 μB per formula unit
**Calculated total energy**: -3.8125 eV/atom
**ΔE to the lowest computed polymorph**: 0.157 eV/atom

---

No. 2
Crystalline WAu at its relaxed geometry, computed with GGA-PBEsol.

Structure (CIF):
```
data_WAu
_chemical_formula_sum 'W2 Au2'
_space_group_name_H-M_alt 'P 1'
_space_group_IT_number 1
_space_group_name_Hall 'P 1'
_cell_length_a 2.685
_cell_length_b 4.371
_cell_length_c 5.591
_cell_angle_alpha 90.00
_cell_angle_beta 99.55
_cell_angle_gamma 90.00
loop_
_atom_site_label
_atom_site_type_symbol
_atom_site_fract_x
_atom_site_fract_y
_atom_site_fract_z
W1 W 0.133 0.250 0.373
W2 W 0.867 0.750 0.627
Au1 Au 0.422 0.250 0.865
Au2 Au 0.578 0.750 0.135
```

## Properties
**ΔH_f (0 K)**: 0.3279 eV per atom
**Total moment**: 0.00 μB per formula unit
**Calculated total energy**: -8.5378 eV/atom
**ΔE to the lowest computed polymorph**: 0.000 eV/atom

---

No. 3
Crystalline CoMoPt2 at its relaxed geometry, computed with GGA-PBEsol.

Structure (CIF):
```
data_CoMoPt2
_chemical_formula_sum 'Co1 Mo1 Pt2'
_space_group_name_H-M_alt 'P 1'
_space_group_IT_number 1
_space_group_name_Hall 'P 1'
_cell_length_a 2.697
_cell_length_b 2.697
_cell_length_c 7.629
_cell_angle_alpha 90.00
_cell_angle_beta 90.00
_cell_angle_gamma 90.00
loop_
_atom_site_label
_atom_site_type_symbol
_atom_site_fract_x
_atom_site_fract_y
_atom_site_fract_z
Co1 Co 0.000 0.000 0.000
Mo1 Mo 0.000 0.000 0.500
Pt1 Pt 0.500 0.500 0.240
Pt2 Pt 0.500 0.500 0.760
```

## Properties
**ΔH_f (0 K)**: -0.1934 eV per atom
**Total moment**: 2.15 μB per formula unit
**Calculated total energy**: -8.5514 eV/atom
**ΔE to the lowest computed polymorph**: 0.000 eV/atom

---

What is the calculated total energy in the second record? -8.5378 eV/atom

---

Which value of ΔE to the lowest computed polymorph does entry 2 give? 0.000 eV/atom

---

The highest calculated total energy belongs to which entry? BeCrTe2I